First-principles (PBE) data for HfPIr2 after structural relaxation, as listed in Alexandria.

Structure (extended XYZ):
```
8
Lattice="5.378 -1.908 0.000 5.378 1.908 0.000 -4.301 0.000 6.358" Properties=species:S:1:pos:R:3 pbc="T T T"
Hf 1.500 0.000 0.920
Hf 4.956 0.000 5.438
P -2.260 0.000 4.593
P 8.716 0.000 1.765
Ir -0.324 0.000 3.329
Ir 1.840 0.000 5.202
Ir 4.615 0.000 1.156
Ir 6.780 0.000 3.030
```

Computed properties:
**Total moment**: 0.000 μB per atom
**Fermi-level density of states**: 2.134 states/eV/f.u.
**Final energy**: -9.046 eV/atom
**ΔE_f**: -0.775 eV per atom
**Density**: 15.1 g/cm3
**Space-group type**: C2/m (12)